(1)
Y3NiAu2 | PBE | relaxed

Structure (POSCAR):
```
Y3NiAu2
1.0
-0.402 3.934 2.053
4.396 -4.198 8.908
10.643 3.073 -3.804
Y Ni Au
12 4 8
Cartesian
8.677 2.474 4.213 Y
6.300 2.144 -0.456 Y
3.429 2.908 2.353 Y
5.960 0.335 2.944 Y
5.014 -0.646 9.476 Y
8.337 0.666 7.612 Y
2.070 -0.435 3.658 Y
9.623 3.456 -2.319 Y
11.208 -0.098 4.804 Y
5.489 -1.256 5.902 Y
12.566 3.245 3.499 Y
9.147 4.066 1.255 Y
1.803 0.842 1.158 Ni
8.210 1.341 1.457 Ni
6.427 1.469 5.700 Ni
12.834 1.968 5.998 Ni
14.030 0.664 3.896 Au
7.555 -2.229 8.172 Au
10.749 1.339 1.958 Au
6.410 3.223 2.334 Au
0.607 2.146 3.261 Au
7.081 5.039 -1.016 Au
3.888 1.471 5.198 Au
8.227 -0.413 4.822 Au
```

Values from the calculation:
energy of formation from the pure elements: -4.06 eV per formula unit
SG: No. 62
DOS(E_F): 21.226 states/eV/cell
crystal system: orthorhombic
volume: 23.45 Å³/atom
size of the total moment: 0.00 μB/cell
total energy: -5.965 eV/atom

***

(2)
NaNd2PbO5 | PBE | relaxed

Structure (POSCAR):
```
NaNd2PbO5
1.0
-1.045 -0.558 6.344
-1.736 -6.573 -0.864
6.536 -1.847 0.915
Nd O Pb Na
4 10 2 2
Cartesian
4.304 -3.937 3.645 Nd
1.296 -2.031 3.317 Nd
2.459 -6.947 3.077 Nd
-0.549 -5.041 2.749 Nd
3.199 -2.556 5.116 O
3.687 -2.296 2.156 O
3.700 -6.229 4.876 O
-0.523 -0.279 3.172 O
1.877 -4.489 3.197 O
0.068 -6.682 4.238 O
0.055 -2.749 1.518 O
0.556 -6.422 1.277 O
-0.433 -3.009 4.478 O
4.187 -5.969 1.916 O
3.268 -0.923 0.457 Pb
-0.868 -3.287 -0.432 Pb
2.400 -4.210 0.025 Na
0.000 0.000 0.000 Na
```

Values from the calculation:
SG: No. 127
DOS(E_F): 4.227 states/eV/cell
crystal system: tetragonal
volume: 16.84 Å³/atom
size of the total moment: 1.84 μB/cell
total energy: -6.466 eV/atom
formation energy (no corrections): -2.094 eV per atom

***

(3)
La3InPb2 | PBE | relaxed

Structure (POSCAR):
```
La3InPb2
1.0
6.735 0.000 0.000
0.000 6.503 -0.147
-3.368 -1.761 8.710
La In Pb
6 2 4
Cartesian
2.478 4.877 -0.110 La
0.796 0.051 2.942 La
4.258 1.626 -0.037 La
-0.796 3.303 2.869 La
2.572 4.691 5.621 La
4.163 1.440 5.695 La
5.889 4.877 -0.110 In
0.846 1.626 -0.037 In
2.600 3.101 2.705 Pb
-0.768 4.892 5.785 Pb
0.768 1.641 5.859 Pb
4.135 -0.150 2.778 Pb
```

Values from the calculation:
energy of formation from the pure elements: -3.06 eV per formula unit
SG: No. 15
E above lowest polymorph: 11 meV/atom
DOS(E_F): 10.114 states/eV/cell
crystal system: monoclinic
volume: 31.65 Å³/atom
size of the total moment: 0.00 μB/cell
total energy: -4.667 eV/atom

***

(4)
Ca2AlPbO6 | PBE | relaxed

Structure (POSCAR):
```
Ca2AlPbO6
1.0
5.694 0.000 0.002
2.847 4.929 0.002
2.848 1.645 4.464
O Al Ca Pb
6 1 2 1
Cartesian
4.661 5.365 1.317 O
4.414 1.350 1.308 O
8.015 3.144 1.316 O
4.129 3.580 3.616 O
6.727 4.495 3.610 O
6.221 1.788 3.610 O
2.847 1.643 0.232 Al
5.697 3.286 1.519 Ca
2.845 1.645 3.413 Ca
8.541 4.930 2.465 Pb
```

Values from the calculation:
SG: No. 2
DOS(E_F): 8.759 states/eV/cell
crystal system: triclinic
volume: 12.52 Å³/atom
size of the total moment: 1.09 μB/cell
total energy: -6.213 eV/atom
formation energy (no corrections): -2.092 eV per atom

***

(5)
NdTmScRu | PBE | relaxed

Structure (POSCAR):
```
NdTmScRu
1.0
3.354 0.000 0.000
0.000 3.354 0.000
0.000 0.000 8.712
Nd Sc Ru Tm
1 1 1 1
Cartesian
0.000 0.000 0.719 Nd
1.677 1.677 3.419 Sc
0.000 0.000 4.878 Ru
1.677 1.677 6.533 Tm
```

Values from the calculation:
energy of formation from the pure elements: -1.22 eV per formula unit
SG: No. 99
DOS(E_F): 2.438 states/eV/cell
crystal system: tetragonal
volume: 24.50 Å³/atom
size of the total moment: 0.00 μB/cell
total energy: -6.516 eV/atom

***

(6)
CsKCd2Au | PBE | relaxed

Structure (POSCAR):
```
CsKCd2Au
1.0
-1.586 -2.862 -4.491
4.807 1.247 -2.493
2.693 -5.401 2.491
Cs K Cd Au
1 1 2 1
Cartesian
1.346 -2.701 1.245 Cs
2.957 -3.508 -2.246 K
-0.793 -1.431 -2.246 Cd
2.404 0.624 -1.246 Cd
0.000 0.000 0.000 Au
```

Values from the calculation:
energy of formation from the pure elements: -0.26 eV per formula unit
SG: No. 123
E above lowest polymorph: 72 meV/atom
DOS(E_F): 2.114 states/eV/cell
crystal system: tetragonal
volume: 40.32 Å³/atom
size of the total moment: 0.00 μB/cell
total energy: -1.463 eV/atom

***

(7)
RbTl2Ag2 | PBE | relaxed

Structure (POSCAR):
```
RbTl2Ag2
1.0
-3.382 6.949 4.575
3.331 -3.394 7.618
2.982 1.786 -0.508
Tl Ag Rb
4 4 2
Cartesian
3.148 -0.240 5.491 Tl
2.065 2.615 9.168 Tl
-0.217 5.580 6.193 Tl
0.866 2.724 2.517 Tl
0.818 -0.391 3.425 Ag
-0.868 3.946 8.768 Ag
-1.697 3.923 3.827 Ag
1.647 -0.369 8.366 Ag
-0.025 1.777 6.097 Rb
0.000 0.000 0.000 Rb
```

Values from the calculation:
energy of formation from the pure elements: 0.43 eV per formula unit
SG: No. 127
E above lowest polymorph: 64 meV/atom
DOS(E_F): 4.543 states/eV/cell
crystal system: tetragonal
volume: 28.33 Å³/atom
size of the total moment: 0.00 μB/cell
total energy: -2.195 eV/atom

***

(8)
Ta2CrCl | PBE | relaxed

Structure (POSCAR):
```
Ta2CrCl
1.0
8.301 -0.001 0.000
7.725 3.036 0.000
7.725 1.463 2.661
Ta Cl Cr
2 1 1
Cartesian
23.553 4.462 2.637 Ta
12.074 2.287 1.352 Ta
17.814 3.374 1.995 Cl
5.938 1.125 0.665 Cr
```

Values from the calculation:
SG: No. 166
E above lowest polymorph: 276 meV/atom
DOS(E_F): 3.513 states/eV/cell
crystal system: trigonal
volume: 16.77 Å³/atom
size of the total moment: 0.00 μB/cell
total energy: -8.540 eV/atom
formation energy (no corrections): 0.254 eV per atom

***

(9)
Dy2Ho5ErZr | PBE | relaxed

Structure (POSCAR):
```
Dy2Ho5ErZr
1.0
5.469 0.000 0.000
-2.734 10.171 0.000
0.000 0.000 9.942
Ho Zr Er Dy
10 2 2 4
Cartesian
0.000 7.370 0.228 Ho
2.734 9.841 5.087 Ho
0.000 0.329 0.116 Ho
0.000 6.130 6.961 Ho
2.734 4.803 8.342 Ho
2.734 0.339 2.365 Ho
0.000 9.832 7.336 Ho
2.734 2.801 5.199 Ho
2.734 4.041 1.990 Ho
0.000 5.367 3.371 Ho
2.734 6.363 5.196 Zr
0.000 3.807 0.226 Zr
0.000 8.179 4.431 Er
2.734 1.992 9.402 Er
0.000 2.467 7.289 Dy
2.734 7.955 8.059 Dy
0.000 2.215 3.088 Dy
2.734 7.704 2.318 Dy
```

Values from the calculation:
energy of formation from the pure elements: 1.58 eV per formula unit
SG: No. 36
DOS(E_F): 27.722 states/eV/cell
crystal system: orthorhombic
volume: 30.72 Å³/atom
size of the total moment: 0.00 μB/cell
total energy: -4.847 eV/atom

***

(10)
CeNd2DyHo | PBE | relaxed

Structure (POSCAR):
```
CeNd2DyHo
1.0
-2.377 -0.481 -7.765
-6.360 -0.989 2.008
-0.946 6.045 -0.085
Ho Nd Ce Dy
2 4 2 2
Cartesian
-4.190 3.979 -0.042 Ho
-5.493 0.597 -5.800 Ho
-4.032 3.948 -4.883 Nd
-7.022 3.468 -3.938 Nd
-5.650 0.627 -0.959 Nd
-2.660 1.107 -1.904 Nd
0.000 0.000 0.000 Ce
-0.473 3.023 -0.042 Ce
-1.553 4.363 -2.819 Dy
-1.770 1.201 -5.030 Dy
```

Values from the calculation:
energy of formation from the pure elements: 1.40 eV per formula unit
SG: No. 13
DOS(E_F): 22.781 states/eV/cell
crystal system: monoclinic
volume: 33.56 Å³/atom
size of the total moment: 0.91 μB/cell
total energy: -4.650 eV/atom

***

(11)
Ac5PrNd6 | PBE | relaxed

Structure (POSCAR):
```
Ac5PrNd6
1.0
5.224 -0.008 -1.520
-3.552 9.110 -2.516
0.098 -0.581 10.080
Nd Ac Pr
6 5 1
Cartesian
-0.165 3.722 -0.583 Nd
1.934 4.798 6.626 Nd
1.044 0.513 3.588 Nd
3.051 2.107 0.737 Nd
-1.281 6.414 5.306 Nd
0.726 8.007 2.456 Nd
0.885 4.260 3.022 Ac
-2.336 5.881 1.680 Ac
-1.118 2.648 5.883 Ac
2.112 1.002 7.256 Ac
-0.342 7.518 -1.213 Ac
0.000 0.000 0.000 Pr
```

Values from the calculation:
energy of formation from the pure elements: 0.35 eV per formula unit
SG: No. 71
DOS(E_F): 21.328 states/eV/cell
crystal system: orthorhombic
volume: 39.16 Å³/atom
size of the total moment: 0.00 μB/cell
total energy: -4.465 eV/atom

***

(12)
Y2HoTmSc4 | PBE | relaxed

Structure (POSCAR):
```
Y2HoTmSc4
1.0
8.921 -0.021 -1.662
-0.028 8.922 -1.661
-5.648 -5.653 7.943
Sc Ho Y Tm
8 2 4 2
Cartesian
3.854 3.817 1.509 Sc
1.054 1.015 5.421 Sc
-3.457 1.036 6.270 Sc
-0.609 -0.569 3.111 Sc
-0.612 3.841 2.299 Sc
3.857 -0.593 2.321 Sc
6.703 2.212 -1.650 Sc
2.191 2.233 -0.801 Sc
3.273 -5.674 6.281 Ho
1.623 1.624 2.310 Ho
-2.824 -2.826 3.971 Y
1.636 -2.837 3.141 Y
4.461 -0.011 -0.831 Y
4.447 4.450 -1.661 Y
-0.014 4.461 -0.831 Tm
6.083 1.613 1.479 Tm
```

Values from the calculation:
energy of formation from the pure elements: 3.54 eV per formula unit
SG: No. 15
DOS(E_F): 32.543 states/eV/cell
crystal system: monoclinic
volume: 29.01 Å³/atom
size of the total moment: 9.58 μB/cell
total energy: -5.471 eV/atom

***

no.,ρ (g/cm3)
1,8.5
2,6.6
3,8.3
4,5.4
5,7.8
6,4.9
7,8.3
8,11.1
9,8.5
10,7.5
11,7.6
12,4.9